Computed, not measured: a relaxed structure of LuThMgOs at the PBE level of DFT.

As for the crystal system: cubic. As for the formation energy: -0.119 eV per atom.

The space group is F-43m (No. 216) and the conventional cell measures 7.154, 7.154 and 7.154 Å, with angles of 90.00, 90.00 and 90.00 degrees. Symmetry generates all atoms from Lu at (0.000, 0.000, 0.000), Th at (0.000, 0.000, 0.500), Mg at (0.250, 0.250, 0.250) and Os at (0.250, 0.250, 0.750).

---

Computed, not measured: a relaxed structure of BeMoIr2 at the PBE level of DFT.

As for the crystal system: tetragonal. As for the formation energy: -0.212 eV per atom.

The space group is I4/mmm (No. 139) and the conventional cell measures 3.885, 3.885 and 7.288 Å, with angles of 90.00, 90.00 and 90.00 degrees. Symmetry generates all atoms from Be at (0.000, 0.000, 0.000), Mo at (0.000, 0.000, 0.500) and Ir at (0.000, 0.500, 0.250).

---

Computed, not measured: a relaxed structure of K2SrIn at the PBE level of DFT.

As for the crystal system: tetragonal. As for the formation energy: 0.033 eV per atom.

The space group is P4/mmm (No. 123) and the conventional cell measures 5.211, 5.211 and 6.691 Å, with angles of 90.00, 90.00 and 90.00 degrees. Symmetry generates all atoms from K at (0.000, 0.500, 0.000), Sr at (0.000, 0.000, 0.500) and In at (0.500, 0.500, 0.500).

---

Computed, not measured: a relaxed structure of SrCr2Si at the PBE level of DFT.

As for the crystal system: orthorhombic. For the uncorrected formation energy, the calculation gives 0.82 eV/atom.

The space group is Immm (No. 71) and the conventional cell measures 2.658, 5.261 and 10.074 Å, with angles of 90.00, 90.00 and 90.00 degrees. Symmetry generates all atoms from Sr at (0.000, 0.000, 0.000), Cr at (0.000, 0.500, 0.205) and Si at (0.000, 0.000, 0.500).

---

Result set for volume: 22.89; 13.75; 45.42; 17.61 A^3/atom, one per record in the order listed.